First-principles (PBE) data for Tb2GdGe4Au4 after structural relaxation, as listed in OQMD.

Geometry as CIF:
```
data_Tb2GdGe4Au4
_chemical_formula_sum 'Tb4 Gd2 Ge8 Au8'
_cell_length_a 4.374
_cell_length_b 7.091
_cell_length_c 14.634
_cell_angle_alpha 90.00
_cell_angle_beta 90.00
_cell_angle_gamma 90.00
_symmetry_space_group_name_H-M 'I m m m'
_symmetry_Int_Tables_number 71
_symmetry_space_group_name_Hall '-I 2 2'
loop_
_atom_site_label
_atom_site_fract_x
_atom_site_fract_y
_atom_site_fract_z
Tb1 0.000 0.000 0.127
Gd1 0.000 0.500 0.000
Ge1 0.000 0.316 0.500
Ge2 0.000 0.500 0.216
Au1 0.000 0.201 0.333
```

Total energy in eV/cell: -106.14
M_tot in μB/cell: 0.00